Compound: La8Nd6Ho
Source: Alexandria
Functional: PBE-GGA
Structure: relaxed

ΔE to the lowest computed polymorph ... 14.9 meV/atom

Cell and atoms, written as CIF:
```
data_La8Nd6Ho
_cell_length_a 9.6145
_cell_length_b 9.6145
_cell_length_c 6.7723
_cell_angle_alpha 90.00
_cell_angle_beta 90.00
_cell_angle_gamma 120.00
_symmetry_space_group_name_H-M 'P -3'
_symmetry_Int_Tables_number 147
loop_
_symmetry_equiv_pos_as_xyz
'x,y,z'
'-x,-y,-z'
'-y,x-y,z'
'y,-x+y,-z'
'-x+y,-x,z'
'x-y,x,-z'
loop_
_atom_site_label
_atom_site_type_symbol
_atom_site_fract_x
_atom_site_fract_y
_atom_site_fract_z
_atom_site_occupancy
La1 La 0.0343 0.2875 0.1651 1
La2 La 0.3333 0.6667 0.1142 1
Nd1 Nd 0.0885 0.4296 0.6525 1
Ho1 Ho 0.0000 0.0000 0.5000 1
```


Compound: ScReRu2
Source: Alexandria
Functional: PBE-GGA
Structure: relaxed

Cell and atoms, written as CIF:
```
data_ScReRu2
_cell_length_a 2.764
_cell_length_b 4.122
_cell_length_c 5.562
_cell_angle_alpha 90.00
_cell_angle_beta 104.06
_cell_angle_gamma 90.00
_symmetry_space_group_name_H-M 'P 1 2/m 1'
_symmetry_Int_Tables_number 10
loop_
_symmetry_equiv_pos_as_xyz
'x,y,z'
'-x,-y,-z'
'-x,y,-z'
'x,-y,z'
loop_
_atom_site_label
_atom_site_type_symbol
_atom_site_fract_x
_atom_site_fract_y
_atom_site_fract_z
_atom_site_occupancy
Sc1 Sc 0.000 0.000 0.000 1
Re1 Re 0.500 0.000 0.500 1
Ru1 Ru 0.172 0.500 0.740 1
```


Compound: VOs6Ru2
Source: Alexandria
Functional: PBE-GGA
Structure: relaxed

Cell and atoms, written as CIF:
```
data_VOs6Ru2
_cell_length_a 11.287
_cell_length_b 8.458
_cell_length_c 7.539
_cell_angle_alpha 90.00
_cell_angle_beta 131.90
_cell_angle_gamma 90.00
_symmetry_space_group_name_H-M 'C 1 2/c 1'
_symmetry_Int_Tables_number 15
loop_
_symmetry_equiv_pos_as_xyz
'x,y,z'
'-x,-y,-z'
'-x,y,-z+1/2'
'x,-y,z+1/2'
'x+1/2,y+1/2,z'
'-x+1/2,-y+1/2,-z'
'-x+1/2,y+1/2,-z+1/2'
'x+1/2,-y+1/2,z+1/2'
loop_
_atom_site_label
_atom_site_type_symbol
_atom_site_fract_x
_atom_site_fract_y
_atom_site_fract_z
_atom_site_occupancy
V1 V 0.000 0.000 0.250 1
Os1 Os 0.152 0.347 0.335 1
Os2 Os 0.152 0.347 0.969 1
Os3 Os 0.210 0.075 0.210 1
Ru1 Ru 0.074 0.204 0.574 1
```


Compound: Sn3AsP2
Source: Alexandria
Functional: PBE-GGA
Structure: relaxed

Cell and atoms, written as CIF:
```
data_Sn3AsP2
_cell_length_a 3.999
_cell_length_b 3.999
_cell_length_c 16.980
_cell_angle_alpha 90.00
_cell_angle_beta 90.00
_cell_angle_gamma 90.00
_symmetry_space_group_name_H-M 'I 4/m m m'
_symmetry_Int_Tables_number 139
_symmetry_space_group_name_Hall '-I 4 2'
loop_
_atom_site_label
_atom_site_type_symbol
_atom_site_fract_x
_atom_site_fract_y
_atom_site_fract_z
_atom_site_occupancy
Sn1 Sn 0.000 0.000 0.000 1
Sn2 Sn 0.000 0.000 0.330 1
As1 As 0.000 0.000 0.500 1
P1 P 0.000 0.000 0.167 1
```


Number 1: raw total energy -4.697 eV/atom. Number 2: raw total energy -9.311 eV/atom. Number 3: raw total energy -10.378 eV/atom. Number 4: raw total energy -4.587 eV/atom.